[1]
# PBE Zr2TaRe, optimized geometry
# Energy of formation from the pure elements ... 0.01 eV per atom
data_Zr2TaRe
_symmetry_space_group_name_H-M 'P 1'
_symmetry_Int_Tables_number 1
_symmetry_space_group_name_Hall 'P 1'
_cell_length_a 3.347
_cell_length_b 4.706
_cell_length_c 4.788
_cell_angle_alpha 90.00
_cell_angle_beta 90.00
_cell_angle_gamma 90.00
loop_
_atom_site_label
_atom_site_type_symbol
_atom_site_fract_x
_atom_site_fract_y
_atom_site_fract_z
Re1 Re 0.500 0.000 0.500
Ta1 Ta 0.000 0.500 0.500
Zr1 Zr 0.000 0.000 0.000
Zr2 Zr 0.500 0.500 0.000

=====

[2]
# PBE MoIrRh2, optimized geometry
# Energy of formation from the pure elements ... 1.02 eV per atom
data_MoIrRh2
_symmetry_space_group_name_H-M 'P 1'
_symmetry_Int_Tables_number 1
_symmetry_space_group_name_Hall 'P 1'
_cell_length_a 5.562
_cell_length_b 5.562
_cell_length_c 6.837
_cell_angle_alpha 66.00
_cell_angle_beta 66.00
_cell_angle_gamma 90.00
loop_
_atom_site_label
_atom_site_type_symbol
_atom_site_fract_x
_atom_site_fract_y
_atom_site_fract_z
Mo1 Mo 0.500 0.500 0.000
Mo2 Mo 0.250 0.750 0.500
Ir1 Ir 0.000 0.000 0.000
Ir2 Ir 0.750 0.250 0.500
Rh1 Rh 0.626 0.125 0.250
Rh2 Rh 0.124 0.625 0.250
Rh3 Rh 0.375 0.374 0.750
Rh4 Rh 0.875 0.876 0.750

=====

[3]
# PBE TbHo2Pd4, optimized geometry
# Energy of formation from the pure elements ... -0.81 eV per atom
data_TbHo2Pd4
_symmetry_space_group_name_H-M 'P 1'
_symmetry_Int_Tables_number 1
_symmetry_space_group_name_Hall 'P 1'
_cell_length_a 5.628
_cell_length_b 5.606
_cell_length_c 8.602
_cell_angle_alpha 106.26
_cell_angle_beta 144.12
_cell_angle_gamma 79.55
loop_
_atom_site_label
_atom_site_type_symbol
_atom_site_fract_x
_atom_site_fract_y
_atom_site_fract_z
Tb1 Tb 0.000 0.000 0.000
Ho1 Ho 0.021 0.666 0.357
Ho2 Ho 0.979 0.334 0.643
Pd1 Pd 0.699 0.800 0.500
Pd2 Pd 0.301 0.200 0.500
Pd3 Pd 0.000 0.500 0.000
Pd4 Pd 0.500 0.000 0.000

=====

[4]
# PBE YMg5, optimized geometry
# Energy of formation from the pure elements ... -0.02 eV per atom
data_YMg5
_symmetry_space_group_name_H-M 'P 1'
_symmetry_Int_Tables_number 1
_symmetry_space_group_name_Hall 'P 1'
_cell_length_a 5.757
_cell_length_b 5.757
_cell_length_c 5.139
_cell_angle_alpha 90.00
_cell_angle_beta 90.00
_cell_angle_gamma 120.00
loop_
_atom_site_label
_atom_site_type_symbol
_atom_site_fract_x
_atom_site_fract_y
_atom_site_fract_z
Y1 Y 0.333 0.000 0.500
Mg1 Mg 0.964 0.000 0.000
Mg2 Mg 0.703 0.370 0.000
Mg3 Mg 0.333 0.630 0.000
Mg4 Mg 0.000 0.333 0.500
Mg5 Mg 0.667 0.667 0.500

=====

What is the energy of formation from the pure elements in the second record?
1.02 eV per atom